# MnAuO2 | Alexandria | GGA+U | relaxed
# M_tot ... 1.00 μB per atom
# E_tot ... -5.733 eV per atom
data_MnAuO2
_cell_length_a 5.1153
_cell_length_b 5.1153
_cell_length_c 9.1731
_cell_angle_alpha 90.00
_cell_angle_beta 90.00
_cell_angle_gamma 90.00
_space_group_name_H-M_alt 'I -4 2 d'
_space_group_IT_number 122
_space_group_name_Hall 'I -4 2bw'
loop_
_atom_site_label
_atom_site_fract_x
_atom_site_fract_y
_atom_site_fract_z
Mn1 0.0000 0.0000 0.0000
Au1 0.0000 0.0000 0.5000
O1 0.1918 0.2500 0.1250